# 1
VASP calculation (PBE) on a relaxed MgTaPO crystal.

Structure (extended XYZ):
```
8
Lattice="5.1641 0.0000 0.0000 0.0000 3.7780 0.0000 0.0000 0.0000 6.2156" Properties=species:S:1:pos:R:3 pbc="T T T"
Mg 0.0000 0.0000 0.0000
Mg 2.5821 0.0000 0.0000
Ta 1.2910 1.8890 2.2756
Ta 3.8731 1.8890 3.9400
P 1.2910 1.8890 4.7630
P 3.8731 1.8890 1.4526
O 1.2910 0.0000 1.5205
O 3.8731 0.0000 4.6951
```

distance to the lowest polymorph of the same formula	0.164	eV per atom

# 2
VASP calculation (PBE) on a relaxed MgTaPO crystal.

Structure (extended XYZ):
```
8
Lattice="4.0575 0.0000 0.0000 0.0000 4.0575 0.0000 0.0000 0.0000 8.9145" Properties=species:S:1:pos:R:3 pbc="T T T"
Mg 1.0144 1.0144 0.0138
Mg 3.0431 3.0431 8.9007
Ta 1.0144 3.0431 4.4572
Ta 3.0431 1.0144 4.4572
P 1.0144 1.0144 3.0210
P 3.0431 3.0431 5.8935
O 1.0144 3.0431 0.0000
O 3.0431 1.0144 0.0000
```

distance to the lowest polymorph of the same formula	0.106	eV per atom

# 3
VASP calculation (PBE) on a relaxed MgTaPO crystal.

Structure (extended XYZ):
```
8
Lattice="3.5794 0.0000 0.0000 0.0000 3.5794 0.0000 0.0000 0.0000 8.3330" Properties=species:S:1:pos:R:3 pbc="T T T"
Mg 0.8948 2.6846 0.0000
Mg 2.6846 0.8948 0.0000
Ta 0.8948 0.8948 2.8894
Ta 2.6846 2.6846 5.4436
P 0.8948 0.8948 6.4933
P 2.6846 2.6846 1.8396
O 0.8948 2.6846 4.1665
O 2.6846 0.8948 4.1665
```

distance to the lowest polymorph of the same formula	0.416	eV per atom

# 4
VASP calculation (PBE) on a relaxed TbMgPO crystal.

Structure (extended XYZ):
```
8
Lattice="3.7401 0.0000 0.0000 0.0000 6.1072 0.0000 0.0000 0.0000 6.5457" Properties=species:S:1:pos:R:3 pbc="T T T"
Tb 0.0000 0.2642 0.0000
Tb 0.0000 5.8430 3.2729
Mg 1.8700 2.3283 2.2422
Mg 1.8700 3.7790 5.5151
P 1.8700 1.3552 4.7415
P 1.8700 4.7520 1.4686
O 0.0000 1.5630 1.8115
O 0.0000 4.5442 5.0843
```

calculated total energy	-48.16	eV/cell

# 5
VASP calculation (PBE) on a relaxed TbMgPO crystal.

Structure (extended XYZ):
```
8
Lattice="4.3191 0.0000 0.0000 0.0000 6.1335 0.0000 0.0000 0.0000 5.7685" Properties=species:S:1:pos:R:3 pbc="T T T"
Tb 0.0000 1.3743 0.0000
Tb 0.0000 4.7592 2.8843
Mg 2.1596 2.3284 3.5447
Mg 2.1596 3.8051 0.6605
P 0.0000 1.4071 2.8284
P 0.0000 4.7264 5.7127
O 2.1596 2.0261 5.5328
O 2.1596 4.1074 2.6485
```

calculated total energy	-48.85	eV/cell

# 6
VASP calculation (PBE) on a relaxed TmMgPO crystal.

Structure (extended XYZ):
```
8
Lattice="4.3746 0.0000 0.0000 0.0000 4.3746 0.0000 0.0000 0.0000 9.0580" Properties=species:S:1:pos:R:3 pbc="T T T"
Tm 1.0936 3.2809 0.0000
Tm 3.2809 1.0936 0.0000
Mg 1.0936 1.0936 4.4256
Mg 3.2809 3.2809 4.6323
P 1.0936 1.0936 1.4936
P 3.2809 3.2809 7.5643
O 1.0936 3.2809 4.5290
O 3.2809 1.0936 4.5290
```

calculated total energy	-42.69	eV/cell

# 7
VASP calculation (PBE) on a relaxed TmMgPO crystal.

Structure (extended XYZ):
```
8
Lattice="3.9576 0.0000 0.0000 0.0000 3.9576 0.0000 0.0000 0.0000 8.6599" Properties=species:S:1:pos:R:3 pbc="T T T"
Tm 0.9894 0.9894 1.0209
Tm 2.9682 2.9682 7.6390
Mg 0.9894 2.9682 4.3299
Mg 2.9682 0.9894 4.3299
P 0.9894 0.9894 5.9194
P 2.9682 2.9682 2.7404
O 0.9894 2.9682 0.0000
O 2.9682 0.9894 0.0000
```

calculated total energy	-48.53	eV/cell

# 8
VASP calculation (PBE) on a relaxed TmMgPO crystal.

Structure (extended XYZ):
```
8
Lattice="3.7150 0.0000 0.0000 0.0000 6.0702 0.0000 0.0000 0.0000 6.4038" Properties=species:S:1:pos:R:3 pbc="T T T"
Tm 0.0000 0.2243 0.0000
Tm 0.0000 5.8459 3.2019
Mg 1.8575 2.3061 2.1677
Mg 1.8575 3.7641 5.3696
P 1.8575 1.3280 4.6661
P 1.8575 4.7422 1.4642
O 0.0000 1.5245 1.7500
O 0.0000 4.5457 4.9519
```

calculated total energy	-48.27	eV/cell

# 9
VASP calculation (PBE) on a relaxed TmMgPO crystal.

Structure (extended XYZ):
```
8
Lattice="4.2573 0.0000 0.0000 0.0000 6.0524 0.0000 0.0000 0.0000 5.7002" Properties=species:S:1:pos:R:3 pbc="T T T"
Tm 0.0000 1.3277 0.0000
Tm 0.0000 4.7246 2.8501
Mg 2.1287 2.3295 3.5414
Mg 2.1287 3.7229 0.6913
P 0.0000 1.4012 2.7707
P 0.0000 4.6511 5.6207
O 2.1287 1.9374 5.5091
O 2.1287 4.1149 2.6590
```

calculated total energy	-48.59	eV/cell

# 10
VASP calculation (PBE) on a relaxed Mg2Pa2O5 crystal.

Structure (extended XYZ):
```
9
Lattice="3.8843 0.0000 0.0000 0.0000 3.8843 0.0000 0.0000 0.0000 7.1410" Properties=species:S:1:pos:R:3 pbc="T T T"
Mg 0.0000 0.0000 1.6463
Mg 0.0000 0.0000 5.4947
Pa 1.9421 1.9421 0.0000
Pa 1.9421 1.9421 3.5705
O 0.0000 0.0000 3.5705
O 0.0000 1.9421 1.6982
O 0.0000 1.9421 5.4428
O 1.9421 0.0000 1.6982
O 1.9421 0.0000 5.4428
```

distance to the lowest polymorph of the same formula	0.000	eV per atom

# 11
VASP calculation (PBE) on a relaxed Mg2Pa2O5 crystal.

Structure (extended XYZ):
```
9
Lattice="4.2006 0.0000 0.0000 0.0000 4.2006 0.0000 0.0000 0.0000 8.2902" Properties=species:S:1:pos:R:3 pbc="T T T"
Mg 0.0000 0.0000 0.0000
Mg 0.0000 0.0000 4.1451
Pa 2.1003 2.1003 2.0060
Pa 2.1003 2.1003 6.2841
O 0.0000 2.1003 2.5798
O 0.0000 2.1003 5.7104
O 2.1003 0.0000 2.5798
O 2.1003 0.0000 5.7104
O 2.1003 2.1003 4.1451
```

distance to the lowest polymorph of the same formula	0.283	eV per atom

# 12
VASP calculation (PBE) on a relaxed Mg5Pa3O12 crystal.

Structure (extended XYZ):
```
80
Lattice="-6.2457 6.2457 6.2457 6.2457 -6.2457 6.2457 6.2457 6.2457 -6.2457" Properties=species:S:1:pos:R:3 pbc="T T T"
Mg 0.0000 0.0000 0.0000
Mg 3.1229 3.1229 -3.1229
Mg 3.1229 -3.1229 3.1229
Mg 6.2457 0.0000 0.0000
Mg 9.3686 1.5614 0.0000
Mg 6.2457 -3.1229 4.6843
Mg 4.6843 6.2457 -3.1229
Mg 4.6843 0.0000 3.1229
Mg 3.1229 4.6843 0.0000
Mg 6.2457 3.1229 1.5614
Mg -3.1229 3.1229 3.1229
Mg 0.0000 6.2457 0.0000
Mg 0.0000 0.0000 6.2457
Mg 3.1229 3.1229 3.1229
Mg 0.0000 3.1229 4.6843
Mg 3.1229 1.5614 6.2457
Mg 1.5614 6.2457 3.1229
Mg 1.5614 0.0000 9.3686
Mg 0.0000 9.3686 1.5614
Mg -3.1229 4.6843 6.2457
Pa 3.1229 1.5614 0.0000
Pa 6.2457 3.1229 -1.5614
Pa 1.5614 0.0000 3.1229
Pa 7.8071 0.0000 3.1229
Pa 0.0000 3.1229 1.5614
Pa 3.1229 -1.5614 6.2457
Pa 3.1229 7.8071 0.0000
Pa 6.2457 3.1229 4.6843
Pa -1.5614 6.2457 3.1229
Pa 4.6843 6.2457 3.1229
Pa 0.0000 3.1229 7.8071
Pa 3.1229 4.6843 6.2457
O 1.9172 -0.2905 0.7823
O 7.4514 3.9051 -3.4133
O 8.1629 0.2905 0.7823
O 7.4514 -2.3406 3.4133
O 5.9553 -0.7823 1.9172
O 9.6590 -1.2057 2.3406
O 0.7823 1.9172 -0.2905
O 8.5863 2.8324 -1.2057
O 3.9051 3.4133 -1.2057
O 5.4634 1.9172 0.2905
O -0.2905 0.7823 1.9172
O 3.4133 -1.2057 3.9051
O 5.9553 5.4634 -1.9172
O 3.4133 1.2057 2.3406
O 3.9051 -3.4133 7.4514
O 5.4634 -1.9172 5.9553
O 2.3406 3.4133 1.2057
O 7.0280 4.3285 0.2905
O 3.4133 7.4514 -2.3406
O 5.9553 0.7823 4.3285
O 1.9172 5.9553 -0.7823
O 7.4514 2.3406 2.8324
O 1.2057 2.3406 3.4133
O 1.9172 0.2905 5.4634
O 4.3285 5.9553 0.7823
O 5.0400 3.9051 2.8324
O -1.2057 3.9051 3.4133
O 4.3285 0.2905 7.0280
O 0.2905 5.4634 1.9172
O 2.8324 -1.2057 8.5863
O -0.7823 1.9172 5.9553
O 3.9051 2.8324 5.0400
O 0.7823 8.1629 0.2905
O 2.3406 9.6590 -1.2057
O 2.8324 5.0400 3.9051
O 0.2905 0.7823 8.1629
O 2.8324 7.4514 2.3406
O 6.5362 5.4634 4.3285
O 0.7823 4.3285 5.9553
O 2.3406 2.8324 7.4514
O -2.3406 3.4133 7.4514
O 5.4634 4.3285 6.5362
O -3.4133 7.4514 3.9051
O 0.2905 7.0280 4.3285
O -1.2057 8.5863 2.8324
O -1.9172 5.9553 5.4634
O -1.2057 2.3406 9.6590
O 4.3285 6.5362 5.4634
```

calculated total energy	-604.06	eV/cell